# Al2Si2Pb2O9 (PBEsol, relaxed)
# final energy: -7.48 eV per atom
# DOS at the Fermi energy: 0.000 states/eV/atom
# energy relative to the elements, uncorrected: -2.489 eV/atom
data_Al2Si2Pb2O9
_chemical_formula_sum 'Al8 Si8 Pb8 O36'
_cell_length_a 6.894
_cell_length_b 10.710
_cell_length_c 9.765
_cell_angle_alpha 90.00
_cell_angle_beta 90.00
_cell_angle_gamma 90.00
_space_group_name_H-M_alt 'P b c n'
_space_group_IT_number 60
loop_
_space_group_symop_operation_xyz
'x,y,z'
'-x,-y,-z'
'-x+1/2,-y+1/2,z+1/2'
'x+1/2,y+1/2,-z+1/2'
'x+1/2,-y+1/2,-z'
'-x+1/2,y+1/2,z'
'-x,y,-z+1/2'
'x,-y,z+1/2'
loop_
_atom_site_label
_atom_site_type_symbol
_atom_site_fract_x
_atom_site_fract_y
_atom_site_fract_z
Al1 Al 0.000 0.000 0.000
Al2 Al 0.000 0.146 0.250
Si1 Si 0.217 0.412 0.248
Pb1 Pb 0.047 0.305 0.549
O1 O 0.000 0.479 0.250
O2 O 0.112 0.142 0.077
O3 O 0.151 0.008 0.337
O4 O 0.184 0.273 0.317
O5 O 0.192 0.107 0.595



# Al2Si2PbO8 (PBEsol, relaxed)
# final energy: -7.71 eV per atom
# DOS at the Fermi energy: 0.000 states/eV/atom
# offset from the most stable computed form: 3 meV per atom
# energy relative to the elements, uncorrected: -2.663 eV/atom
data_Al2Si2PbO8
_chemical_formula_sum 'Al4 Si4 Pb2 O16'
_cell_length_a 7.175
_cell_length_b 7.786
_cell_length_c 7.794
_cell_angle_alpha 113.62
_cell_angle_beta 103.55
_cell_angle_gamma 103.55
_space_group_name_H-M_alt 'P -1'
_space_group_IT_number 2
loop_
_space_group_symop_operation_xyz
'x,y,z'
'-x,-y,-z'
loop_
_atom_site_label
_atom_site_type_symbol
_atom_site_fract_x
_atom_site_fract_y
_atom_site_fract_z
Al1 Al 0.230 0.182 0.330
Al2 Al 0.230 0.831 0.682
Si1 Si 0.343 0.574 0.304
Si2 Si 0.343 0.803 0.073
Pb1 Pb 0.145 0.254 0.754
O1 O 0.000 0.122 0.378
O2 O 0.231 0.689 0.445
O3 O 0.231 0.945 0.187
O4 O 0.257 0.715 0.832
O5 O 0.259 0.333 0.218
O6 O 0.286 0.598 0.097
O7 O 0.406 0.084 0.820
O8 O 0.406 0.317 0.583



# Al2Si2PbO8 (PBEsol, relaxed)
# final energy: -7.72 eV per atom
# DOS at the Fermi energy: 0.000 states/eV/atom
# offset from the most stable computed form: 0 meV per atom
# energy relative to the elements, uncorrected: -2.666 eV/atom
data_Al2Si2PbO8
_chemical_formula_sum 'Al16 Si16 Pb8 O64'
_cell_length_a 13.244
_cell_length_b 13.148
_cell_length_c 8.401
_cell_angle_alpha 90.00
_cell_angle_beta 100.14
_cell_angle_gamma 90.00
_space_group_name_H-M_alt 'C 1 2/c 1'
_space_group_IT_number 15
loop_
_space_group_symop_operation_xyz
'x,y,z'
'-x,-y,-z'
'-x,y,-z+1/2'
'x,-y,z+1/2'
'x+1/2,y+1/2,z'
'-x+1/2,-y+1/2,-z'
'-x+1/2,y+1/2,-z+1/2'
'x+1/2,-y+1/2,z+1/2'
loop_
_atom_site_label
_atom_site_type_symbol
_atom_site_fract_x
_atom_site_fract_y
_atom_site_fract_z
Al1 Al 0.078 0.131 0.021
Al2 Al 0.133 0.428 0.385
Si1 Si 0.075 0.363 0.008
Si2 Si 0.140 0.077 0.400
Pb1 Pb 0.175 0.259 0.691
O1 O 0.051 0.369 0.503
O2 O 0.056 0.131 0.494
O3 O 0.103 0.251 0.942
O4 O 0.116 0.441 0.884
O5 O 0.127 0.045 0.896
O6 O 0.130 0.378 0.194
O7 O 0.142 0.124 0.221
O8 O 0.250 0.118 0.506



# Al3Si3Pb2O13 (PBEsol, relaxed)
# final energy: -7.52 eV per atom
# DOS at the Fermi energy: 0.253 states/eV/atom
# energy relative to the elements, uncorrected: -2.489 eV/atom
data_Al3Si3Pb2O13
_chemical_formula_sum 'Al12 Si12 Pb8 O52'
_cell_length_a 15.758
_cell_length_b 5.768
_cell_length_c 10.889
_cell_angle_alpha 90.00
_cell_angle_beta 90.00
_cell_angle_gamma 90.00
_space_group_name_H-M_alt 'P n m a'
_space_group_IT_number 62
loop_
_space_group_symop_operation_xyz
'x,y,z'
'-x,-y,-z'
'-x+1/2,-y,z+1/2'
'x+1/2,y,-z+1/2'
'x+1/2,-y+1/2,-z+1/2'
'-x+1/2,y+1/2,z+1/2'
'-x,y+1/2,-z'
'x,-y+1/2,z'
loop_
_atom_site_label
_atom_site_type_symbol
_atom_site_fract_x
_atom_site_fract_y
_atom_site_fract_z
Al1 Al 0.108 0.250 0.156
Al2 Al 0.250 0.001 0.816
Si1 Si 0.081 0.750 0.708
Si2 Si 0.082 0.750 0.420
Si3 Si 0.159 0.750 0.063
Pb1 Pb 0.063 0.250 0.872
Pb2 Pb 0.136 0.250 0.560
O1 O 0.002 0.250 0.208
O2 O 0.007 0.250 0.655
O3 O 0.051 0.750 0.564
O4 O 0.102 0.514 0.068
O5 O 0.140 0.520 0.395
O6 O 0.141 0.524 0.733
O7 O 0.207 0.250 0.229
O8 O 0.210 0.250 0.898
O9 O 0.217 0.750 0.935
O10 O 0.222 0.750 0.186



# AlPd3O (PBEsol, relaxed)
# final energy: -5.56 eV per atom
# DOS at the Fermi energy: 0.564 states/eV/atom
# energy relative to the elements, uncorrected: -0.115 eV/atom
data_AlPd3O
_chemical_formula_sum 'Al1 Pd3 O1'
_cell_length_a 4.144
_cell_length_b 4.144
_cell_length_c 4.144
_cell_angle_alpha 90.00
_cell_angle_beta 90.00
_cell_angle_gamma 90.00
_space_group_name_H-M_alt 'P m -3 m'
_space_group_IT_number 221
_space_group_name_Hall '-P 4 2 3'
loop_
_atom_site_label
_atom_site_type_symbol
_atom_site_fract_x
_atom_site_fract_y
_atom_site_fract_z
Al1 Al 0.000 0.000 0.000
Pd1 Pd 0.000 0.500 0.500
O1 O 0.500 0.500 0.500



# SrPrAl3O7 (PBEsol, relaxed)
# final energy: -7.82 eV per atom
# DOS at the Fermi energy: 0.000 states/eV/atom
# energy relative to the elements, uncorrected: -3.152 eV/atom
data_SrPrAl3O7
_chemical_formula_sum 'Sr4 Pr4 Al12 O28'
_cell_length_a 11.099
_cell_length_b 11.129
_cell_length_c 5.186
_cell_angle_alpha 90.00
_cell_angle_beta 90.00
_cell_angle_gamma 90.00
_space_group_name_H-M_alt 'C m m 2'
_space_group_IT_number 35
loop_
_space_group_symop_operation_xyz
'x,y,z'
'-x,-y,z'
'-x,y,z'
'x,-y,z'
'x+1/2,y+1/2,z'
'-x+1/2,-y+1/2,z'
'-x+1/2,y+1/2,z'
'x+1/2,-y+1/2,z'
loop_
_atom_site_label
_atom_site_type_symbol
_atom_site_fract_x
_atom_site_fract_y
_atom_site_fract_z
Sr1 Sr 0.161 0.000 0.000
Pr1 Pr 0.000 0.338 0.021
Al1 Al 0.000 0.145 0.472
Al2 Al 0.142 0.500 0.549
Al3 Al 0.250 0.250 0.510
O1 O 0.000 0.000 0.345
O2 O 0.000 0.151 0.806
O3 O 0.000 0.500 0.700
O4 O 0.123 0.216 0.314
O5 O 0.132 0.500 0.213
O6 O 0.208 0.374 0.701



# SrPrAlO4 (PBEsol, relaxed)
# final energy: -7.78 eV per atom
# DOS at the Fermi energy: 0.000 states/eV/atom
# energy relative to the elements, uncorrected: -3.187 eV/atom
data_SrPrAlO4
_chemical_formula_sum 'Sr2 Pr2 Al2 O8'
_cell_length_a 3.733
_cell_length_b 3.733
_cell_length_c 12.380
_cell_angle_alpha 90.00
_cell_angle_beta 90.00
_cell_angle_gamma 90.00
_space_group_name_H-M_alt 'I 4 m m'
_space_group_IT_number 107
_space_group_name_Hall 'I 4 -2'
loop_
_atom_site_label
_atom_site_type_symbol
_atom_site_fract_x
_atom_site_fract_y
_atom_site_fract_z
Sr1 Sr 0.000 0.000 0.000
Pr1 Pr 0.000 0.000 0.285
Al1 Al 0.000 0.000 0.639
O1 O 0.000 0.000 0.479
O2 O 0.000 0.000 0.805
O3 O 0.000 0.500 0.149



# RbAl11O17 (PBEsol, relaxed)
# final energy: -7.68 eV per atom
# DOS at the Fermi energy: 0.000 states/eV/atom
# energy relative to the elements, uncorrected: -3.011 eV/atom
data_RbAl11O17
_chemical_formula_sum 'Rb2 Al22 O34'
_cell_length_a 5.6133
_cell_length_b 5.6133
_cell_length_c 22.8912
_cell_angle_alpha 90.00
_cell_angle_beta 90.00
_cell_angle_gamma 120.00
_space_group_name_H-M_alt 'P 63/m m c'
_space_group_IT_number 194
_space_group_name_Hall '-P 6c 2c'
loop_
_atom_site_label
_atom_site_type_symbol
_atom_site_fract_x
_atom_site_fract_y
_atom_site_fract_z
Rb1 Rb 0.3333 0.6667 0.2500
Al1 Al 0.0000 0.0000 0.0000
Al2 Al 0.1672 0.3344 0.1052
Al3 Al 0.3333 0.6667 0.5250
Al4 Al 0.3333 0.6667 0.6750
O1 O 0.0000 0.0000 0.1402
O2 O 0.0035 0.5018 0.1437
O3 O 0.1566 0.3133 0.5492
O4 O 0.3333 0.6667 0.0547
O5 O 0.3333 0.6667 0.7500



# Rb3AlO3 (PBEsol, relaxed)
# final energy: -5.20 eV per atom
# DOS at the Fermi energy: 0.000 states/eV/atom
# energy relative to the elements, uncorrected: -1.928 eV/atom
data_Rb3AlO3
_chemical_formula_sum 'Rb12 Al4 O12'
_cell_length_a 7.231
_cell_length_b 11.371
_cell_length_c 6.744
_cell_angle_alpha 90.00
_cell_angle_beta 104.16
_cell_angle_gamma 90.00
_space_group_name_H-M_alt 'C 1 2/m 1'
_space_group_IT_number 12
loop_
_space_group_symop_operation_xyz
'x,y,z'
'-x,-y,-z'
'-x,y,-z'
'x,-y,z'
'x+1/2,y+1/2,z'
'-x+1/2,-y+1/2,-z'
'-x+1/2,y+1/2,-z'
'x+1/2,-y+1/2,z'
loop_
_atom_site_label
_atom_site_type_symbol
_atom_site_fract_x
_atom_site_fract_y
_atom_site_fract_z
Rb1 Rb 0.000 0.198 0.000
Rb2 Rb 0.000 0.267 0.500
Rb3 Rb 0.130 0.500 0.848
Al1 Al 0.158 0.000 0.646
O1 O 0.099 0.000 0.365
O2 O 0.224 0.372 0.237



# RbAlSi2O (PBEsol, relaxed)
# final energy: -3.52 eV per atom
# DOS at the Fermi energy: 1.193 states/eV/atom
# energy relative to the elements, uncorrected: 0.848 eV/atom
data_RbAlSi2O
_chemical_formula_sum 'Rb1 Al1 Si2 O1'
_cell_length_a 4.604
_cell_length_b 4.604
_cell_length_c 7.387
_cell_angle_alpha 90.00
_cell_angle_beta 90.00
_cell_angle_gamma 90.00
_space_group_name_H-M_alt 'P 4/m m m'
_space_group_IT_number 123
_space_group_name_Hall '-P 4 2'
loop_
_atom_site_label
_atom_site_type_symbol
_atom_site_fract_x
_atom_site_fract_y
_atom_site_fract_z
Rb1 Rb 0.000 0.000 0.000
Al1 Al 0.000 0.000 0.500
Si1 Si 0.000 0.500 0.500
O1 O 0.500 0.500 0.000



# RbAlSiO4 (PBEsol, relaxed)
# final energy: -7.35 eV per atom
# DOS at the Fermi energy: 0.000 states/eV/atom
# energy relative to the elements, uncorrected: -2.794 eV/atom
data_RbAlSiO4
_chemical_formula_sum 'Rb4 Al4 Si4 O16'
_cell_length_a 8.750
_cell_length_b 9.217
_cell_length_c 5.328
_cell_angle_alpha 90.00
_cell_angle_beta 90.00
_cell_angle_gamma 90.00
_space_group_name_H-M_alt 'P n a 21'
_space_group_IT_number 33
loop_
_space_group_symop_operation_xyz
'x,y,z'
'-x,-y,z+1/2'
'-x+1/2,y+1/2,z+1/2'
'x+1/2,-y+1/2,z'
loop_
_atom_site_label
_atom_site_type_symbol
_atom_site_fract_x
_atom_site_fract_y
_atom_site_fract_z
Rb1 Rb 0.001 0.206 0.000
Al1 Al 0.188 0.583 0.022
Si1 Si 0.195 0.416 0.523
O1 O 0.010 0.416 0.520
O2 O 0.240 0.036 0.225
O3 O 0.240 0.958 0.744
O4 O 0.247 0.756 0.110